(1)
Here is a geometry-optimized TaZnAg structure from Alexandria. Energies are from GGA-PBE.

Properties
Excess energy over the best structure of this formula in the dataset = 177.6 meV/atom
ΔE_f = 276.0 meV per atom

a = 4.518 Å, b = 4.518 Å, c = 2.824 Å
α = 90.00°, β = 90.00°, γ = 120.00°
Atoms (fractional coordinates):
Ta 0.000 0.000 0.000
Zn 0.667 0.333 0.500
Ag 0.333 0.667 0.500


(2)
Here is a geometry-optimized ReHg structure from Alexandria. Energies are from GGA-PBE.

Properties
Excess energy over the best structure of this formula in the dataset = 640.4 meV/atom
ΔE_f = 1032.8 meV per atom

a = 4.937 Å, b = 4.937 Å, c = 4.937 Å
α = 129.59°, β = 129.59°, γ = 74.06°
Atoms (fractional coordinates):
Re 0.375 0.625 0.750
Re 0.625 0.375 0.250
Hg 0.125 0.875 0.250
Hg 0.875 0.125 0.750


(3)
Here is a geometry-optimized KZnCo2Hg structure from Alexandria. Energies are from GGA-PBE.

Properties
ΔE_f = 1848.7 meV per atom

a = 6.071 Å, b = 6.071 Å, c = 6.619 Å
α = 90.00°, β = 90.00°, γ = 90.00°
Atoms (fractional coordinates):
K 0.000 0.000 0.000
Zn 0.500 0.500 0.500
Co 0.000 0.500 0.000
Co 0.500 0.000 0.000
Hg 0.000 0.000 0.500


(4)
Here is a geometry-optimized Cr2RuAu structure from Alexandria. Energies are from GGA-PBE.

Properties
ΔE_f = 329.2 meV per atom

a = 8.902 Å, b = 8.902 Å, c = 8.902 Å
α = 17.75°, β = 17.75°, γ = 17.75°
Atoms (fractional coordinates):
Cr 0.000 0.000 0.000
Cr 0.259 0.259 0.259
Ru 0.741 0.741 0.741
Au 0.504 0.504 0.504


(5)
Here is a geometry-optimized Rb2NpGaCl6 structure from Alexandria. Energies are from GGA-PBE.

a = 7.770 Å, b = 7.784 Å, c = 7.903 Å
α = 118.84°, β = 90.60°, γ = 119.62°
Atoms (fractional coordinates):
Rb 0.000 0.000 0.000
Rb 0.488 0.020 0.538
Np 0.247 0.514 0.769
Ga 0.747 0.513 0.269
Cl 0.033 0.429 0.430
Cl 0.055 0.034 0.586
Cl 0.437 0.993 0.955
Cl 0.471 0.606 0.108
Cl 0.552 0.518 0.596
Cl 0.941 0.504 0.940


(6)
Here is a geometry-optimized AgHg2BiSe4 structure from Alexandria. Energies are from GGA-PBE.

a = 7.774 Å, b = 7.774 Å, c = 6.318 Å
α = 66.03°, β = 66.02°, γ = 47.95°
Atoms (fractional coordinates):
Ag 0.000 0.000 0.000
Hg 0.250 0.250 0.250
Hg 0.750 0.750 0.750
Bi 0.499 0.499 0.501
Se 0.109 0.635 0.891
Se 0.365 0.889 0.111
Se 0.635 0.109 0.365
Se 0.889 0.365 0.635


(7)
Here is a geometry-optimized TcTe2Se structure from Alexandria. Energies are from GGA-PBE.

a = 4.920 Å, b = 4.920 Å, c = 4.920 Å
α = 120.09°, β = 120.09°, γ = 89.85°
Atoms (fractional coordinates):
Tc 0.000 0.000 0.000
Te 0.250 0.750 0.500
Te 0.500 0.500 0.000
Se 0.750 0.250 0.500


(8)
Here is a geometry-optimized CaTlSeClO structure from Alexandria. Energies are from GGA-PBE.

Properties
Excess energy over the best structure of this formula in the dataset = 2.2 meV/atom

a = 4.046 Å, b = 4.047 Å, c = 8.989 Å
α = 89.67°, β = 89.71°, γ = 60.09°
Atoms (fractional coordinates):
Ca 0.000 0.000 0.000
Tl 0.014 0.020 0.487
Se 0.682 0.688 0.285
Cl 0.335 0.336 0.819
O 0.666 0.665 0.077


(9)
Here is a geometry-optimized Ge2AsBr8 structure from Alexandria. Energies are from GGA-PBE.

a = 7.982 Å, b = 7.982 Å, c = 7.183 Å
α = 100.00°, β = 100.00°, γ = 89.10°
Atoms (fractional coordinates):
Ge 0.167 0.167 0.117
Ge 0.833 0.833 0.883
As 0.000 0.000 0.500
Br 0.092 0.747 0.696
Br 0.215 0.215 0.758
Br 0.253 0.908 0.304
Br 0.374 0.374 0.283
Br 0.626 0.626 0.717
Br 0.747 0.092 0.696
Br 0.785 0.785 0.242
Br 0.908 0.253 0.304


(10)
Here is a geometry-optimized Y2CdHPb structure from Alexandria. Energies are from GGA-PBE.

a = 4.858 Å, b = 4.858 Å, c = 4.591 Å
α = 90.00°, β = 90.00°, γ = 90.00°
Atoms (fractional coordinates):
Y 0.000 0.500 0.000
Y 0.500 0.000 0.000
Cd 0.000 0.000 0.500
H 0.000 0.000 0.000
Pb 0.500 0.500 0.500


(11)
Here is a geometry-optimized Ac2Ge3PdPt4 structure from Alexandria. Energies are from GGA-PBE.

Properties
ΔE_f = -882.1 meV per atom

a = 4.430 Å, b = 4.430 Å, c = 10.599 Å
α = 90.00°, β = 90.00°, γ = 90.00°
Atoms (fractional coordinates):
Ac 0.000 0.500 0.242
Ac 0.500 0.000 0.758
Ge 0.000 0.000 0.000
Ge 0.000 0.500 0.621
Ge 0.500 0.000 0.379
Pd 0.500 0.500 0.000
Pt 0.000 0.000 0.500
Pt 0.000 0.500 0.855
Pt 0.500 0.000 0.145
Pt 0.500 0.500 0.500


(12)
Here is a geometry-optimized PIr2Os structure from Alexandria. Energies are from GGA-PBE.

Properties
ΔE_f = 107.3 meV per atom

a = 2.850 Å, b = 2.850 Å, c = 6.810 Å
α = 90.00°, β = 90.00°, γ = 90.00°
Atoms (fractional coordinates):
P 0.000 0.000 0.000
Ir 0.000 0.000 0.513
Ir 0.500 0.500 0.213
Os 0.500 0.500 0.787


(13)
Here is a geometry-optimized ScCuOs2 structure from Alexandria. Energies are from GGA-PBE.

Properties
Excess energy over the best structure of this formula in the dataset = 344.4 meV/atom
ΔE_f = 318.9 meV per atom

a = 4.389 Å, b = 4.389 Å, c = 4.389 Å
α = 60.00°, β = 60.00°, γ = 60.00°
Atoms (fractional coordinates):
Sc 0.000 0.000 0.000
Cu 0.500 0.500 0.500
Os 0.250 0.250 0.250
Os 0.750 0.750 0.750


(14)
Here is a geometry-optimized Li4MgPd structure from Alexandria. Energies are from GGA-PBE.

Properties
Excess energy over the best structure of this formula in the dataset = 115.6 meV/atom
ΔE_f = -115.3 meV per atom

a = 5.105 Å, b = 5.105 Å, c = 5.105 Å
α = 60.00°, β = 60.00°, γ = 60.00°
Atoms (fractional coordinates):
Li 0.377 0.377 0.377
Li 0.377 0.377 0.870
Li 0.377 0.870 0.377
Li 0.870 0.377 0.377
Mg 0.000 0.000 0.000
Pd 0.750 0.750 0.750


(15)
Here is a geometry-optimized SnAsOs2Se structure from Alexandria. Energies are from GGA-PBE.

Properties
Excess energy over the best structure of this formula in the dataset = 0.0 meV/atom

a = 4.548 Å, b = 4.548 Å, c = 5.556 Å
α = 90.00°, β = 90.00°, γ = 90.00°
Atoms (fractional coordinates):
Sn 0.000 0.000 0.000
As 0.500 0.500 0.000
Os 0.000 0.500 0.500
Os 0.500 0.000 0.500
Se 0.000 0.000 0.500


(16)
Here is a geometry-optimized YTm2HgN structure from Alexandria. Energies are from GGA-PBE.

a = 4.723 Å, b = 4.723 Å, c = 4.802 Å
α = 90.00°, β = 90.00°, γ = 90.00°
Atoms (fractional coordinates):
Y 0.000 0.000 0.000
Tm 0.000 0.500 0.500
Tm 0.500 0.000 0.500
Hg 0.500 0.500 0.000
N 0.000 0.000 0.500


(17)
Here is a geometry-optimized AlGa4Bi structure from Alexandria. Energies are from GGA-PBE.

Properties
ΔE_f = 160.4 meV per atom

a = 5.672 Å, b = 5.672 Å, c = 5.672 Å
α = 60.00°, β = 60.00°, γ = 60.00°
Atoms (fractional coordinates):
Al 0.000 0.000 0.000
Ga 0.374 0.374 0.374
Ga 0.374 0.374 0.877
Ga 0.374 0.877 0.374
Ga 0.877 0.374 0.374
Bi 0.750 0.750 0.750


(18)
Here is a geometry-optimized LaLuZnFe structure from Alexandria. Energies are from GGA-PBE.

Properties
ΔE_f = -31.0 meV per atom

a = 4.993 Å, b = 4.993 Å, c = 4.993 Å
α = 60.00°, β = 60.00°, γ = 60.00°
Atoms (fractional coordinates):
La 0.000 0.000 0.000
Lu 0.500 0.500 0.500
Zn 0.750 0.750 0.750
Fe 0.250 0.250 0.250


(19)
Here is a geometry-optimized SBrO3 structure from Alexandria. Energies are from GGA-PBE.

a = 3.793 Å, b = 3.793 Å, c = 3.793 Å
α = 90.00°, β = 90.00°, γ = 90.00°
Atoms (fractional coordinates):
S 0.000 0.000 0.000
Br 0.500 0.500 0.500
O 0.000 0.000 0.500
O 0.000 0.500 0.000
O 0.500 0.000 0.000


(20)
Here is a geometry-optimized Zr2Au2Se structure from Alexandria. Energies are from GGA-PBE.

a = 7.167 Å, b = 7.167 Å, c = 4.156 Å
α = 90.00°, β = 90.00°, γ = 90.00°
Atoms (fractional coordinates):
Zr 0.164 0.336 0.000
Zr 0.336 0.836 0.000
Zr 0.664 0.164 0.000
Zr 0.836 0.664 0.000
Au 0.137 0.637 0.500
Au 0.363 0.137 0.500
Au 0.637 0.863 0.500
Au 0.863 0.363 0.500
Se 0.000 0.000 0.000
Se 0.500 0.500 0.000


Computed values of E_tot (unit: Ry/atom) for the preceding records, in sequence: -0.3712, -0.3926, -0.1123, -0.5601, -0.3333, -0.2093, -0.3211, -0.3217, -0.2106, -0.3326, -0.4428, -0.6235, -0.5808, -0.1854, -0.3905, -0.4238, -0.2299, -0.3548, -0.2548, -0.4463.